## Rb3Pr2MnO6 (GGA+U)

Data for an optimized crystal structure of Rb3Pr2MnO6.

abc: 6.1025 6.1025 6.9850
angles: 100.05 100.05 117.14
Sites, in units of the cell vectors:
Rb 0.0000 0.0000 0.0000
Rb 0.3362 0.6638 0.0000
Rb 0.6638 0.3362 0.0000
Pr 0.1642 0.8358 0.5000
Pr 0.8358 0.1642 0.5000
Mn 0.5000 0.5000 0.5000
O 0.1535 0.4382 0.3418
O 0.2145 0.2145 0.7122
O 0.4382 0.1535 0.3418
O 0.5618 0.8465 0.6582
O 0.7855 0.7855 0.2878
O 0.8465 0.5618 0.6582

Summary:
For the electronic total energy, the calculation gives -6.2465 eV per atom. The value obtained for the density of states at the Fermi level is 0.00 states/eV per cell. Its crystal system is monoclinic.


## RbPrMnO3 (GGA+U)

Data for an optimized crystal structure of RbPrMnO3.

abc: 7.7860 3.7321 9.9338
angles: 90.00 111.11 90.00
Sites, in units of the cell vectors:
Rb 0.1935 0.2500 0.1605
Rb 0.8065 0.7500 0.8395
Pr 0.3303 0.7500 0.8543
Pr 0.6697 0.2500 0.1457
Mn 0.0241 0.2500 0.6190
Mn 0.9759 0.7500 0.3810
O 0.1085 0.2500 0.8380
O 0.1466 0.7500 0.5943
O 0.4613 0.7500 0.1119
O 0.5387 0.2500 0.8881
O 0.8534 0.2500 0.4057
O 0.8915 0.7500 0.1620

Summary:
For the electronic total energy, the calculation gives -6.8169 eV per atom. Its crystal system is monoclinic.


## RbPr2MnO5 (GGA+U)

Data for an optimized crystal structure of RbPr2MnO5.

abc: 7.6651 7.6651 7.6651
angles: 126.34 126.34 79.32
Sites, in units of the cell vectors:
Rb 0.2500 0.2500 0.0000
Rb 0.7500 0.7500 0.0000
Pr 0.1780 0.6780 0.8561
Pr 0.3220 0.1780 0.5000
Pr 0.6780 0.8220 0.5000
Pr 0.8220 0.3220 0.1439
Mn 0.2500 0.7500 0.5000
Mn 0.7500 0.2500 0.5000
O 0.0000 0.0000 0.0000
O 0.0057 0.2384 0.5000
O 0.2384 0.7384 0.2327
O 0.2616 0.4943 0.5000
O 0.4943 0.9943 0.2327
O 0.5000 0.5000 0.0000
O 0.5057 0.0057 0.7673
O 0.7384 0.5057 0.5000
O 0.7616 0.2616 0.7673
O 0.9943 0.7616 0.5000

Summary:
For the electronic total energy, the calculation gives -7.1580 eV per atom. The value obtained for the density of states at the Fermi level is 10.30 states/eV per cell. Its crystal system is tetragonal.


## Pr2MnRhO6 (GGA+U)

Data for an optimized crystal structure of Pr2MnRhO6.

abc: 5.5671 5.8884 9.3942
angles: 90.00 125.00 90.00
Sites, in units of the cell vectors:
Pr 0.2305 0.0682 0.2494
Pr 0.2305 0.4318 0.7494
Pr 0.7695 0.5682 0.2506
Pr 0.7695 0.9318 0.7506
Mn 0.5000 0.0000 0.0000
Mn 0.5000 0.5000 0.5000
Rh 0.0000 0.0000 0.5000
Rh 0.0000 0.5000 0.0000
O 0.1447 0.2003 0.9517
O 0.1447 0.2997 0.4517
O 0.2549 0.6999 0.9504
O 0.2549 0.8001 0.4504
O 0.3556 0.0301 0.7557
O 0.3556 0.4699 0.2557
O 0.6444 0.5301 0.7443
O 0.6444 0.9699 0.2443
O 0.7451 0.1999 0.5496
O 0.7451 0.3001 0.0496
O 0.8553 0.7003 0.5483
O 0.8553 0.7997 0.0483

Summary:
For the electronic total energy, the calculation gives -7.6891 eV per atom. The value obtained for the density of states at the Fermi level is 0.74 states/eV per cell. Its crystal system is monoclinic.


## Pr2MnS2O2 (GGA+U)

Data for an optimized crystal structure of Pr2MnS2O2.

abc: 6.1149 6.1149 6.9113
angles: 119.38 119.38 37.01
Sites, in units of the cell vectors:
Pr 0.1901 0.1901 0.2316
Pr 0.8099 0.8099 0.7684
Mn 0.0000 0.0000 0.5000
S 0.4370 0.4370 0.1768
S 0.5630 0.5630 0.8232
O 0.1975 0.1975 0.5832
O 0.8025 0.8025 0.4168

Summary:
For the electronic total energy, the calculation gives -7.3550 eV per atom. The value obtained for the density of states at the Fermi level is 0.00 states/eV per cell. Its crystal system is monoclinic.


## PrMnSO2 (GGA+U)

Data for an optimized crystal structure of PrMnSO2.

abc: 6.3793 6.3793 5.4313
angles: 90.00 90.00 128.67
Sites, in units of the cell vectors:
Pr 0.1374 0.8626 0.7500
Pr 0.8626 0.1374 0.2500
Mn 0.4954 0.5046 0.7500
Mn 0.5046 0.4954 0.2500
S 0.2628 0.7372 0.2500
S 0.7372 0.2628 0.7500
O 0.2558 0.2558 0.0000
O 0.2558 0.2558 0.5000
O 0.7442 0.7442 0.0000
O 0.7442 0.7442 0.5000

Summary:
For the electronic total energy, the calculation gives -7.3045 eV per atom. Its crystal system is orthorhombic.


## Pr2Mn3Sb3O14 (GGA+U)

Data for an optimized crystal structure of Pr2Mn3Sb3O14.

abc: 7.2834 7.2834 7.3775
angles: 118.94 118.94 61.65
Sites, in units of the cell vectors:
Pr 0.0000 0.5000 0.0000
Pr 0.5000 0.0000 0.0000
Mn 0.0000 0.0000 0.0000
Mn 0.0000 0.0000 0.5000
Mn 0.5000 0.5000 0.5000
Sb 0.0000 0.5000 0.5000
Sb 0.5000 0.0000 0.5000
Sb 0.5000 0.5000 0.0000
O 0.1067 0.1067 0.8588
O 0.1725 0.5829 0.8236
O 0.1752 0.1752 0.4398
O 0.1764 0.5682 0.4167
O 0.4121 0.4121 0.1496
O 0.4171 0.8275 0.1764
O 0.4318 0.8236 0.5833
O 0.5682 0.1764 0.4167
O 0.5829 0.1725 0.8236
O 0.5879 0.5879 0.8504
O 0.8236 0.4318 0.5833
O 0.8248 0.8248 0.5602
O 0.8275 0.4171 0.1764
O 0.8933 0.8933 0.1412

Summary:
For the electronic total energy, the calculation gives -7.1674 eV per atom. Its crystal system is monoclinic.


## PrMn2SbO6 (GGA+U)

Data for an optimized crystal structure of PrMn2SbO6.

abc: 5.5456 5.5456 5.5456
angles: 61.55 61.55 61.55
Sites, in units of the cell vectors:
Pr 0.0000 0.0000 0.0000
Mn 0.2506 0.2506 0.2506
Mn 0.7553 0.7553 0.7553
Sb 0.4693 0.4693 0.4693
O 0.0568 0.5805 0.4165
O 0.0879 0.4993 0.9353
O 0.4165 0.0568 0.5805
O 0.4993 0.9353 0.0879
O 0.5805 0.4165 0.0568
O 0.9353 0.0879 0.4993

Summary:
For the electronic total energy, the calculation gives -7.2800 eV per atom. The value obtained for the density of states at the Fermi level is 0.29 states/eV per cell. Its crystal system is trigonal.


## Pr2Mn2Se2O3 (GGA+U)

Data for an optimized crystal structure of Pr2Mn2Se2O3.

abc: 9.9606 9.9606 9.9606
angles: 155.81 155.81 34.47
Sites, in units of the cell vectors:
Pr 0.1890 0.1890 0.0000
Pr 0.8110 0.8110 0.0000
Mn 0.0000 0.5000 0.5000
Mn 0.5000 0.0000 0.5000
Se 0.3987 0.3987 0.0000
Se 0.6013 0.6013 0.0000
O 0.0000 0.0000 0.0000
O 0.2500 0.7500 0.5000
O 0.7500 0.2500 0.5000

Summary:
For the electronic total energy, the calculation gives -7.2804 eV per atom. Its crystal system is tetragonal.


## Pr2MnSiO6 (GGA+U)

Data for an optimized crystal structure of Pr2MnSiO6.

abc: 5.3748 5.3748 3.8027
angles: 90.00 90.00 90.00
Sites, in units of the cell vectors:
Pr 0.0000 0.5000 0.0000
Pr 0.5000 0.0000 0.0000
Mn 0.0000 0.0000 0.5000
Si 0.5000 0.5000 0.5000
O 0.0000 0.0000 0.0000
O 0.2692 0.2692 0.5000
O 0.2692 0.7308 0.5000
O 0.5000 0.5000 0.0000
O 0.7308 0.2692 0.5000
O 0.7308 0.7308 0.5000

Summary:
For the electronic total energy, the calculation gives -7.6873 eV per atom. The value obtained for the density of states at the Fermi level is 2.03 states/eV per cell. Its crystal system is tetragonal.


## Pr2MnSnO6 (GGA+U)

Data for an optimized crystal structure of Pr2MnSnO6.

abc: 5.8275 5.8275 5.7511
angles: 119.40 119.40 58.94
Sites, in units of the cell vectors:
Pr 0.2501 0.2501 0.2249
Pr 0.7499 0.7499 0.7751
Mn 0.0000 0.0000 0.5000
Sn 0.5000 0.5000 0.0000
O 0.1827 0.6784 0.1747
O 0.2618 0.2618 0.6443
O 0.3216 0.8173 0.8253
O 0.6784 0.1827 0.1747
O 0.7382 0.7382 0.3557
O 0.8173 0.3216 0.8253

Summary:
For the electronic total energy, the calculation gives -7.5732 eV per atom. The value obtained for the density of states at the Fermi level is 0.00 states/eV per cell. Its crystal system is monoclinic.


## Sr2PrMn3O9 (GGA+U)

Data for an optimized crystal structure of Sr2PrMn3O9.

abc: 5.5536 5.5536 13.4110
angles: 91.08 91.08 59.11
Sites, in units of the cell vectors:
Sr 0.1639 0.1708 0.4170
Sr 0.1708 0.1639 0.9170
Sr 0.8292 0.8361 0.0830
Sr 0.8361 0.8292 0.5830
Pr 0.4994 0.5006 0.2500
Pr 0.5006 0.4994 0.7500
Mn 0.1647 0.1683 0.1659
Mn 0.1683 0.1647 0.6659
Mn 0.5000 0.5000 0.0000
Mn 0.5000 0.5000 0.5000
Mn 0.8317 0.8353 0.3341
Mn 0.8353 0.8317 0.8341
O 0.0395 0.9605 0.7500
O 0.0644 0.4890 0.2574
O 0.1518 0.7222 0.4227
O 0.1946 0.6062 0.9032
O 0.2778 0.8482 0.0773
O 0.3162 0.3552 0.5873
O 0.3552 0.3162 0.0873
O 0.3938 0.8054 0.5968
O 0.4890 0.0644 0.7574
O 0.5110 0.9356 0.2426
O 0.6062 0.1946 0.4032
O 0.6448 0.6838 0.9127
O 0.6838 0.6448 0.4127
O 0.7222 0.1518 0.9227
O 0.8054 0.3938 0.0968
O 0.8482 0.2778 0.5773
O 0.9356 0.5110 0.7426
O 0.9605 0.0395 0.2500

Summary:
For the electronic total energy, the calculation gives -7.2402 eV per atom. The value obtained for the density of states at the Fermi level is 4.56 states/eV per cell. Its crystal system is monoclinic.


| no. | V (Å³/f.u.) | magnetic moment (μB/f.u.) |
| --- | --- | --- |
| 1 | 218 | 3.94 |
| 2 | 135 | 5.00 |
| 3 | 141 | 4.00 |
| 4 | 126 | 3.95 |
| 5 | 133 | 5.00 |
| 6 | 86 | 3.99 |
| 7 | 285 | 14.00 |
| 8 | 125 | 8.00 |
| 9 | 166 | 10.00 |
| 10 | 110 | 1.06 |
| 11 | 138 | 5.00 |
| 12 | 177 | 10.00 |